Compound: Re3Tc
Source: Alexandria via LeMat-Bulk
Functional: PBE
Structure: optimized geometry

```
4
Lattice="-1.353 2.071 1.087 1.551 -3.304 8.222 2.642 0.476 -0.307" Properties=species:S:1:pos:R:3 pbc="T T T"
Re 0.002 -0.004 0.010
Re 0.774 -1.648 4.101
Re 1.808 -1.205 6.556
Tc 1.032 0.447 2.446
```

Computed properties:
M_tot: 0.00 μB/f.u.
SG: No. 65
Relative energy among the computed polymorphs: 295 meV/atom
Crystal system: orthorhombic
Energy relative to the elements: 0.29 eV per atom